(1)
Computed, not measured: a geometry-optimized TcAg3Cl2F6 structure at the GGA-PBE level of DFT.

Unit cell a=7.557 b=7.557 c=4.852 alpha=92.81 beta=92.81 gamma=55.09
Positions (direct):
Tc 0.000 0.000 0.000
Ag 0.000 0.500 0.000
Ag 0.500 0.000 0.000
Ag 0.500 0.500 0.500
Cl 0.320 0.320 0.311
Cl 0.680 0.680 0.689
F 0.116 0.116 0.784
F 0.134 0.736 0.779
F 0.264 0.866 0.221
F 0.736 0.134 0.779
F 0.866 0.264 0.221
F 0.884 0.884 0.216

Properties
Magnetic moment: 2.0 μB/f.u.
Formation energy from raw total energies: -1.38 eV per atom
Mass density: 4.439 Mg/m³

(2)
Computed, not measured: a geometry-optimized Tb3GaHg structure at the GGA-PBE level of DFT.

Unit cell a=4.632 b=6.423 c=9.906 alpha=98.32 beta=90.60 gamma=111.11
Positions (direct):
Tb 0.079 0.143 0.362
Tb 0.354 0.697 0.294
Tb 0.354 0.711 0.895
Tb 0.646 0.289 0.105
Tb 0.646 0.303 0.706
Tb 0.921 0.857 0.638
Ga 0.258 0.534 0.592
Ga 0.742 0.466 0.408
Hg 0.085 0.175 0.905
Hg 0.915 0.825 0.095

Properties
Magnetic moment: 0.0 μB/f.u.
Energy of formation from the pure elements: -0.369 eV per atom
Mass density: 9.141 Mg/m³

(3)
Computed, not measured: a geometry-optimized MnRe2 structure at the GGA-PBE level of DFT.

Unit cell a=4.676 b=4.676 c=4.676 alpha=146.48 beta=131.95 gamma=59.86
Positions (direct):
Mn 0.000 0.000 0.000
Re 0.336 0.336 0.000
Re 0.664 0.664 0.000

Properties
Magnetic moment: 0.8 μB/f.u.
Energy of formation from the pure elements: 0.101 eV per atom
Mass density: 17.055 Mg/m³

(4)
Computed, not measured: a geometry-optimized SnHg5Pb7 structure at the GGA-PBE level of DFT.

Unit cell a=10.586 b=10.586 c=3.760 alpha=99.55 beta=99.55 gamma=87.42
Positions (direct):
Sn 0.000 0.000 0.000
Hg 0.021 0.411 0.217
Hg 0.031 0.643 0.834
Hg 0.411 0.021 0.217
Hg 0.643 0.031 0.834
Hg 0.832 0.832 0.321
Pb 0.183 0.183 0.683
Pb 0.211 0.848 0.527
Pb 0.374 0.374 0.373
Pb 0.391 0.642 0.009
Pb 0.642 0.391 0.009
Pb 0.660 0.660 0.647
Pb 0.848 0.211 0.527

Properties
Magnetic moment: 0.0 μB/f.u.
Energy of formation from the pure elements: 0.074 eV per atom
Mass density: 10.425 Mg/m³

Repeat the second record exactly.
Computed, not measured: a geometry-optimized Tb3GaHg structure at the GGA-PBE level of DFT.

Unit cell a=4.632 b=6.423 c=9.906 alpha=98.32 beta=90.60 gamma=111.11
Positions (direct):
Tb 0.079 0.143 0.362
Tb 0.354 0.697 0.294
Tb 0.354 0.711 0.895
Tb 0.646 0.289 0.105
Tb 0.646 0.303 0.706
Tb 0.921 0.857 0.638
Ga 0.258 0.534 0.592
Ga 0.742 0.466 0.408
Hg 0.085 0.175 0.905
Hg 0.915 0.825 0.095

Properties
Magnetic moment: 0.0 μB/f.u.
Energy of formation from the pure elements: -0.369 eV per atom
Mass density: 9.141 Mg/m³